Material: Cu2SiP
Method: DFT, SCAN
State: PBEsol geometry

Structure (POSCAR):
```
Cu2SiP
1.0
2.614 0.000 0.000
0.000 2.614 0.000
0.000 0.000 7.376
Cu Si P
2 1 1
Direct
0.000 0.000 0.000
0.500 0.500 0.243
0.500 0.500 0.771
0.000 0.000 0.470
```

Calculated values
The symmetry is P4mm (99). The calculation puts the uncorrected formation energy at 0.313 eV/atom. The size of the total moment is 0.00 Bohr magnetons per cell. As for the density of states at the Fermi level: 1.5 states/eV per cell.



Material: GdB2Rh2C
Method: DFT, SCAN
State: PBEsol geometry

Structure (POSCAR):
```
GdB2Rh2C
1.0
3.760 0.000 0.000
0.000 3.760 0.000
0.000 0.000 10.306
Gd B Rh C
2 4 4 2
Direct
0.000 0.000 0.000
0.500 0.500 0.500
0.000 0.000 0.355
0.000 0.000 0.645
0.500 0.500 0.145
0.500 0.500 0.855
0.000 0.500 0.250
0.000 0.500 0.750
0.500 0.000 0.250
0.500 0.000 0.750
0.000 0.000 0.500
0.500 0.500 0.000
```

Calculated values
The value obtained for the formation energy is -687 meV/atom. The symmetry is I4/mmm (139). The size of the total moment is 14.00 Bohr magnetons per cell. As for the density of states at the Fermi level: 4.3 states/eV per cell.



Material: YHg2As
Method: DFT, SCAN
State: PBEsol geometry

Structure (POSCAR):
```
YHg2As
1.0
4.141 0.000 0.000
0.000 4.141 0.000
0.000 0.000 5.137
Y Hg As
1 2 1
Direct
0.000 0.000 0.000
0.000 0.500 0.500
0.500 0.000 0.500
0.500 0.500 0.000
```

Calculated values
The value obtained for the formation energy is -650 meV/atom. The symmetry is P4/mmm (123). The size of the total moment is 0.00 Bohr magnetons per cell. As for the density of states at the Fermi level: 1.0 states/eV per cell.



Material: CdAsSe3
Method: DFT, SCAN
State: PBEsol geometry

Structure (POSCAR):
```
CdAsSe3
1.0
5.053 0.000 0.000
0.000 5.053 0.000
0.000 0.000 5.053
Cd As Se
1 1 3
Direct
0.000 0.000 0.000
0.500 0.500 0.500
0.000 0.000 0.500
0.000 0.500 0.000
0.500 0.000 0.000
```

Calculated values
The symmetry is Pm-3m (221). The calculation puts the uncorrected formation energy at 0.849 eV/atom. The size of the total moment is 0.43 Bohr magnetons per cell. As for the density of states at the Fermi level: 4.3 states/eV per cell.



Material: Mg2GeBi
Method: DFT, SCAN
State: PBEsol geometry

Structure (POSCAR):
```
Mg2GeBi
1.0
7.867 0.000 0.000
0.000 7.867 0.000
0.000 0.000 6.176
Mg Ge Bi
8 4 4
Direct
0.215 0.750 0.125
0.250 0.215 0.875
0.250 0.285 0.375
0.285 0.750 0.625
0.715 0.250 0.625
0.750 0.715 0.375
0.750 0.785 0.875
0.785 0.250 0.125
0.000 0.000 0.000
0.000 0.500 0.250
0.500 0.000 0.750
0.500 0.500 0.500
0.000 0.000 0.500
0.000 0.500 0.750
0.500 0.000 0.250
0.500 0.500 0.000
```

Calculated values
The value obtained for the formation energy is 81 meV/atom. The symmetry is I-42d (122). The size of the total moment is 0.00 Bohr magnetons per cell. As for the density of states at the Fermi level: 11.9 states/eV per cell.



Material: Te3Os
Method: DFT, SCAN
State: PBEsol geometry

Structure (POSCAR):
```
Te3Os
1.0
3.133 0.000 0.000
0.000 3.133 0.000
0.000 0.000 9.742
Te Os
3 1
Direct
0.000 0.000 0.000
0.500 0.500 0.322
0.500 0.500 0.678
0.000 0.000 0.500
```

Calculated values
The symmetry is P4/mmm (123). The calculation puts the uncorrected formation energy at 0.384 eV/atom. The size of the total moment is 0.00 Bohr magnetons per cell. As for the density of states at the Fermi level: 3.1 states/eV per cell.



Material: Sr2YCd
Method: DFT, SCAN
State: PBEsol geometry

Structure (POSCAR):
```
Sr2YCd
1.0
3.845 0.000 0.000
0.000 3.845 0.000
0.000 0.000 9.916
Sr Y Cd
2 1 1
Direct
0.000 0.000 0.000
0.500 0.500 0.341
0.000 0.000 0.625
0.500 0.500 0.783
```

Calculated values
The value obtained for the formation energy is -151 meV/atom. The symmetry is P4mm (99). The size of the total moment is 0.62 Bohr magnetons per cell. As for the density of states at the Fermi level: 4.0 states/eV per cell.



Material: ZrCuSiP
Method: DFT, SCAN
State: PBEsol geometry

Structure (POSCAR):
```
ZrCuSiP
1.0
3.560 0.000 0.000
0.000 3.560 0.000
0.000 0.000 9.351
Zr Cu Si P
2 2 2 2
Direct
0.250 0.250 0.231
0.750 0.750 0.769
0.250 0.750 0.500
0.750 0.250 0.500
0.250 0.750 0.000
0.750 0.250 0.000
0.250 0.250 0.671
0.750 0.750 0.329
```

Calculated values
The symmetry is P4/nmm (129). The calculation puts the uncorrected formation energy at -0.772 eV/atom. The size of the total moment is 0.00 Bohr magnetons per cell. As for the density of states at the Fermi level: 1.1 states/eV per cell.